Below is crystalline K2TlMoPt at its relaxed geometry, with properties calculated at the PBE level.

It has space group P4/mmm (No. 123), with a = 6.155 Å, b = 6.155 Å, c = 5.418 Å, α = 90.00°, β = 90.00° and γ = 90.00°. The distinct sites, in fractional coordinates, are K at (0.000, 0.500, 0.000), Tl at (0.000, 0.000, 0.500), Mo at (0.000, 0.000, 0.000) and Pt at (0.500, 0.500, 0.500).

The value obtained for the final energy is -2.8876 eV/atom. The value obtained for the mass density is 4.6 g cm⁻³. Its crystal system is tetragonal.